Computed, not measured: crystalline CeEuTmLu at its relaxed geometry at the GGA-PBE level of DFT.

```
CeEuTmLu
1.0
0.000 4.024 4.024
4.024 0.000 4.024
4.024 4.024 0.000
Ce Eu Tm Lu
1 1 1 1
direct
0.000 0.000 0.000
0.500 0.500 0.500
0.750 0.750 0.750
0.250 0.250 0.250
```

Calculated values
SG ... F-43m
E_form ... 0.20 eV/atom
Volume ... 130 Å³/f.u.
Magnetization ... 8.05 Bohr magnetons per cell